No. 1
An optimized crystal structure of Ba2BeHg, computed with PBE.

Geometry as CIF:
```
data_Ba2BeHg
_chemical_formula_sum 'Ba4 Be2 Hg2'
_symmetry_space_group_name_H-M 'P 1'
_symmetry_Int_Tables_number 1
_cell_length_a 7.515
_cell_length_b 7.515
_cell_length_c 7.515
_cell_angle_alpha 107.41
_cell_angle_beta 107.41
_cell_angle_gamma 113.67
loop_
_symmetry_equiv_pos_as_xyz
'x,y,z'
loop_
_atom_site_label
_atom_site_type_symbol
_atom_site_fract_x
_atom_site_fract_y
_atom_site_fract_z
Ba1 Ba 0.098 0.625 0.973
Ba2 Ba 0.375 0.348 0.473
Ba3 Ba 0.652 0.125 0.027
Ba4 Ba 0.875 0.902 0.527
Be1 Be 0.000 0.000 0.000
Be2 Be 0.750 0.250 0.500
Hg1 Hg 0.250 0.750 0.500
Hg2 Hg 0.500 0.500 0.000
```

Properties
**Theoretical density**: 4.94 g cm⁻³
**ΔH_f (0 K)**: 341.2 meV/atom

---

No. 2
An optimized crystal structure of BaBeHg, computed with PBE.

Geometry as CIF:
```
data_BaBeHg
_chemical_formula_sum 'Ba1 Be1 Hg1'
_symmetry_space_group_name_H-M 'P 1'
_symmetry_Int_Tables_number 1
_cell_length_a 6.541
_cell_length_b 6.538
_cell_length_c 3.602
_cell_angle_alpha 74.05
_cell_angle_beta 73.98
_cell_angle_gamma 31.97
loop_
_symmetry_equiv_pos_as_xyz
'x,y,z'
loop_
_atom_site_label
_atom_site_type_symbol
_atom_site_fract_x
_atom_site_fract_y
_atom_site_fract_z
Ba1 Ba 0.000 0.000 0.000
Be1 Be 0.711 0.711 0.289
Hg1 Hg 0.280 0.280 0.720
```

Properties
**Theoretical density**: 7.37 g cm⁻³
**ΔH_f (0 K)**: 217.2 meV/atom

---

No. 3
An optimized crystal structure of Ba2BeHg, computed with PBE.

Geometry as CIF:
```
data_Ba2BeHg
_chemical_formula_sum 'Ba2 Be1 Hg1'
_symmetry_space_group_name_H-M 'P 1'
_symmetry_Int_Tables_number 1
_cell_length_a 4.056
_cell_length_b 4.056
_cell_length_c 9.047
_cell_angle_alpha 90.00
_cell_angle_beta 90.00
_cell_angle_gamma 90.00
loop_
_symmetry_equiv_pos_as_xyz
'x,y,z'
loop_
_atom_site_label
_atom_site_type_symbol
_atom_site_fract_x
_atom_site_fract_y
_atom_site_fract_z
Ba1 Ba 0.000 0.000 0.000
Ba2 Ba 0.500 0.500 0.426
Be1 Be 0.000 0.000 0.634
Hg1 Hg 0.500 0.500 0.787
```

Properties
**Theoretical density**: 5.40 g cm⁻³
**ΔH_f (0 K)**: 197.7 meV/atom

---

No. 4
An optimized crystal structure of BaBeHg, computed with PBE.

Geometry as CIF:
```
data_BaBeHg
_chemical_formula_sum 'Ba1 Be1 Hg1'
_symmetry_space_group_name_H-M 'P 1'
_symmetry_Int_Tables_number 1
_cell_length_a 5.228
_cell_length_b 5.228
_cell_length_c 5.228
_cell_angle_alpha 60.00
_cell_angle_beta 60.00
_cell_angle_gamma 60.00
loop_
_symmetry_equiv_pos_as_xyz
'x,y,z'
loop_
_atom_site_label
_atom_site_type_symbol
_atom_site_fract_x
_atom_site_fract_y
_atom_site_fract_z
Ba1 Ba 0.000 0.000 0.000
Be1 Be 0.500 0.500 0.500
Hg1 Hg 0.750 0.750 0.750
```

Properties
**Theoretical density**: 5.70 g cm⁻³
**ΔH_f (0 K)**: 423.9 meV/atom

---

No. 5
An optimized crystal structure of BaBeHg, computed with PBE.

Geometry as CIF:
```
data_BaBeHg
_chemical_formula_sum 'Ba1 Be1 Hg1'
_symmetry_space_group_name_H-M 'P 1'
_symmetry_Int_Tables_number 1
_cell_length_a 4.393
_cell_length_b 4.393
_cell_length_c 5.094
_cell_angle_alpha 90.00
_cell_angle_beta 90.00
_cell_angle_gamma 120.00
loop_
_symmetry_equiv_pos_as_xyz
'x,y,z'
loop_
_atom_site_label
_atom_site_type_symbol
_atom_site_fract_x
_atom_site_fract_y
_atom_site_fract_z
Ba1 Ba 0.000 0.000 0.000
Be1 Be 0.667 0.333 0.500
Hg1 Hg 0.333 0.667 0.500
```

Properties
**Theoretical density**: 6.77 g cm⁻³
**ΔH_f (0 K)**: 33.5 meV/atom

---

No. 6
An optimized crystal structure of Ba2BeHg, computed with PBE.

Geometry as CIF:
```
data_Ba2BeHg
_chemical_formula_sum 'Ba2 Be1 Hg1'
_symmetry_space_group_name_H-M 'P 1'
_symmetry_Int_Tables_number 1
_cell_length_a 6.020
_cell_length_b 6.020
_cell_length_c 6.020
_cell_angle_alpha 129.69
_cell_angle_beta 129.69
_cell_angle_gamma 73.90
loop_
_symmetry_equiv_pos_as_xyz
'x,y,z'
loop_
_atom_site_label
_atom_site_type_symbol
_atom_site_fract_x
_atom_site_fract_y
_atom_site_fract_z
Ba1 Ba 0.000 0.000 0.000
Ba2 Ba 0.750 0.250 0.500
Be1 Be 0.250 0.750 0.500
Hg1 Hg 0.500 0.500 0.000
```

Properties
**Theoretical density**: 6.38 g cm⁻³
**ΔH_f (0 K)**: 240.1 meV/atom

---

No. 7
An optimized crystal structure of Ba2BeHg2, computed with PBE.

Geometry as CIF:
```
data_Ba2BeHg2
_chemical_formula_sum 'Ba4 Be2 Hg4'
_symmetry_space_group_name_H-M 'P 1'
_symmetry_Int_Tables_number 1
_cell_length_a 7.696
_cell_length_b 7.696
_cell_length_c 5.377
_cell_angle_alpha 90.00
_cell_angle_beta 90.00
_cell_angle_gamma 90.00
loop_
_symmetry_equiv_pos_as_xyz
'x,y,z'
loop_
_atom_site_label
_atom_site_type_symbol
_atom_site_fract_x
_atom_site_fract_y
_atom_site_fract_z
Ba1 Ba 0.174 0.326 0.000
Ba2 Ba 0.326 0.826 0.000
Ba3 Ba 0.674 0.174 0.000
Ba4 Ba 0.826 0.674 0.000
Be1 Be 0.000 0.000 0.500
Be2 Be 0.500 0.500 0.500
Hg1 Hg 0.144 0.644 0.500
Hg2 Hg 0.356 0.144 0.500
Hg3 Hg 0.644 0.856 0.500
Hg4 Hg 0.856 0.356 0.500
```

Properties
**Theoretical density**: 7.14 g cm⁻³
**ΔH_f (0 K)**: 45.6 meV/atom

---

No. 8
An optimized crystal structure of Ba2BeHg, computed with PBE.

Geometry as CIF:
```
data_Ba2BeHg
_chemical_formula_sum 'Ba2 Be1 Hg1'
_symmetry_space_group_name_H-M 'P 1'
_symmetry_Int_Tables_number 1
_cell_length_a 5.816
_cell_length_b 5.816
_cell_length_c 4.101
_cell_angle_alpha 90.00
_cell_angle_beta 90.00
_cell_angle_gamma 90.21
loop_
_symmetry_equiv_pos_as_xyz
'x,y,z'
loop_
_atom_site_label
_atom_site_type_symbol
_atom_site_fract_x
_atom_site_fract_y
_atom_site_fract_z
Ba1 Ba 0.000 0.500 0.000
Ba2 Ba 0.500 0.000 0.000
Be1 Be 0.000 0.000 0.500
Hg1 Hg 0.500 0.500 0.500
```

Properties
**Theoretical density**: 5.80 g cm⁻³
**ΔH_f (0 K)**: 64.6 meV/atom